Entry 1:
The following is a DFT calculation (PBE-GGA) of crystalline Ba2AgSn2Hg at its relaxed geometry.

a = 4.895 Å, b = 4.895 Å, c = 9.892 Å
α = 90.00°, β = 90.00°, γ = 120.00°
Fractional coordinates of all 6 atoms:
Ag: 0.667 0.333 0.500
Ba: 0.000 0.000 0.259
Ba: 0.000 0.000 0.741
Hg: 0.333 0.667 0.000
Sn: 0.667 0.333 0.000
Sn: 0.333 0.667 0.500

Computed properties:
E_tot (eV per atom): -3.022

---

Entry 2:
The following is a DFT calculation (PBE-GGA) of crystalline ThZr at its relaxed geometry.

a = 5.877 Å, b = 10.207 Å, c = 5.562 Å
α = 90.00°, β = 90.00°, γ = 90.00°
Fractional coordinates of all 12 atoms:
Th: 0.494 0.180 0.000
Th: 0.994 0.987 0.000
Th: 0.848 0.176 0.500
Th: 0.831 0.500 0.500
Th: 0.331 0.666 0.500
Th: 0.348 0.991 0.500
Zr: 0.017 0.350 0.000
Zr: 0.487 0.496 0.000
Zr: 0.987 0.670 0.000
Zr: 0.517 0.817 0.000
Zr: 0.324 0.342 0.500
Zr: 0.824 0.824 0.500

Computed properties:
DFT formation energy (eV per atom): 0.0875

---

Entry 3:
The following is a DFT calculation (PBE-GGA) of crystalline NaSrOs at its relaxed geometry.

a = 4.987 Å, b = 4.987 Å, c = 4.987 Å
α = 60.00°, β = 60.00°, γ = 60.00°
Fractional coordinates of all 3 atoms:
Na: 0.250 0.250 0.250
Os: 0.000 0.000 0.000
Sr: 0.750 0.750 0.750

Computed properties:
ΔE to the lowest computed polymorph (meV per atom): 0.0

---

Entry 4:
The following is a DFT calculation (PBE-GGA) of crystalline MgTlFeCu at its relaxed geometry.

a = 4.541 Å, b = 4.541 Å, c = 4.541 Å
α = 60.00°, β = 60.00°, γ = 60.00°
Fractional coordinates of all 4 atoms:
Cu: 0.750 0.750 0.750
Fe: 0.250 0.250 0.250
Mg: 0.500 0.500 0.500
Tl: 0.000 0.000 0.000

Computed properties:
ΔE to the lowest computed polymorph (meV per atom): 0.0

---

Entry 5:
The following is a DFT calculation (PBE-GGA) of crystalline CsGdNiSe3 at its relaxed geometry.

a = 11.349 Å, b = 4.342 Å, c = 13.524 Å
α = 90.00°, β = 90.00°, γ = 90.00°
Fractional coordinates of all 24 atoms:
Cs: 0.178 0.250 0.008
Cs: 0.678 0.250 0.492
Cs: 0.322 0.750 0.508
Cs: 0.822 0.750 0.992
Gd: 0.496 0.750 0.183
Gd: 0.996 0.750 0.317
Gd: 0.004 0.250 0.683
Gd: 0.504 0.250 0.817
Ni: 0.736 0.250 0.205
Ni: 0.236 0.250 0.295
Ni: 0.764 0.750 0.705
Ni: 0.264 0.750 0.795
Se: 0.594 0.250 0.069
Se: 0.944 0.250 0.182
Se: 0.230 0.750 0.226
Se: 0.730 0.750 0.274
Se: 0.444 0.250 0.318
Se: 0.094 0.250 0.431
Se: 0.906 0.750 0.569
Se: 0.556 0.750 0.682
Se: 0.270 0.250 0.726
Se: 0.770 0.250 0.774
Se: 0.056 0.750 0.818
Se: 0.406 0.750 0.931

Computed properties:
ΔE to the lowest computed polymorph (meV per atom): 85.5

---

Entry 6:
The following is a DFT calculation (PBE-GGA) of crystalline ErBeCd at its relaxed geometry.

a = 4.463 Å, b = 4.463 Å, c = 4.463 Å
α = 60.00°, β = 60.00°, γ = 60.00°
Fractional coordinates of all 3 atoms:
Be: 0.000 0.000 0.000
Cd: 0.250 0.250 0.250
Er: 0.750 0.750 0.750

Computed properties:
ΔE to the lowest computed polymorph (meV per atom): 0.0

---

Entry 7:
The following is a DFT calculation (PBE-GGA) of crystalline LuTePO at its relaxed geometry.

a = 3.995 Å, b = 3.995 Å, c = 10.076 Å
α = 90.00°, β = 90.00°, γ = 90.00°
Fractional coordinates of all 8 atoms:
Lu: 0.250 0.250 0.096
Lu: 0.750 0.750 0.904
O: 0.750 0.250 0.000
O: 0.250 0.750 0.000
P: 0.750 0.750 0.267
P: 0.250 0.250 0.733
Te: 0.750 0.250 0.500
Te: 0.250 0.750 0.500

Computed properties:
ΔE to the lowest computed polymorph (meV per atom): 113.7

---

Entry 8:
The following is a DFT calculation (PBE-GGA) of crystalline Cs2HgPtF6 at its relaxed geometry.

a = 6.535 Å, b = 6.535 Å, c = 6.535 Å
α = 122.69°, β = 122.69°, γ = 85.41°
Fractional coordinates of all 10 atoms:
Cs: 0.750 0.250 0.500
Cs: 0.250 0.750 0.500
F: 0.774 0.226 0.000
F: 0.283 0.283 0.000
F: 0.717 0.717 0.000
F: 0.226 0.774 0.000
F: 0.226 0.226 0.451
F: 0.774 0.774 0.549
Hg: 0.500 0.500 0.000
Pt: 0.000 0.000 0.000

Computed properties:
E_tot (eV per atom): -3.782

---

Entry 9:
The following is a DFT calculation (PBE-GGA) of crystalline SmSi3Pt5 at its relaxed geometry.

a = 16.025 Å, b = 16.025 Å, c = 4.006 Å
α = 90.00°, β = 90.00°, γ = 120.00°
Fractional coordinates of all 54 atoms:
Pt: 0.534 0.077 0.250
Pt: 0.116 0.147 0.250
Pt: 0.744 0.156 0.250
Pt: 0.412 0.256 0.250
Pt: 0.040 0.276 0.250
Pt: 0.923 0.458 0.250
Pt: 0.542 0.466 0.250
Pt: 0.229 0.565 0.250
Pt: 0.844 0.588 0.250
Pt: 0.435 0.663 0.250
Pt: 0.724 0.765 0.250
Pt: 0.337 0.771 0.250
Pt: 0.031 0.884 0.250
Pt: 0.235 0.960 0.250
Pt: 0.853 0.969 0.250
Pt: 0.147 0.031 0.750
Pt: 0.765 0.040 0.750
Pt: 0.969 0.116 0.750
Pt: 0.663 0.229 0.750
Pt: 0.276 0.235 0.750
Pt: 0.565 0.337 0.750
Pt: 0.156 0.412 0.750
Pt: 0.771 0.435 0.750
Pt: 0.458 0.534 0.750
Pt: 0.077 0.542 0.750
Pt: 0.960 0.724 0.750
Pt: 0.588 0.744 0.750
Pt: 0.256 0.844 0.750
Pt: 0.884 0.853 0.750
Pt: 0.466 0.923 0.750
Si: 0.249 0.117 0.250
Si: 0.883 0.132 0.250
Si: 0.551 0.233 0.250
Si: 0.767 0.318 0.250
Si: 0.061 0.434 0.250
Si: 0.682 0.449 0.250
Si: 0.566 0.627 0.250
Si: 0.868 0.751 0.250
Si: 0.373 0.939 0.250
Si: 0.627 0.061 0.750
Si: 0.132 0.249 0.750
Si: 0.434 0.373 0.750
Si: 0.318 0.551 0.750
Si: 0.939 0.566 0.750
Si: 0.233 0.682 0.750
Si: 0.449 0.767 0.750
Si: 0.117 0.868 0.750
Si: 0.751 0.883 0.750
Sm: 0.294 0.391 0.250
Sm: 0.097 0.706 0.250
Sm: 0.609 0.903 0.250
Sm: 0.391 0.097 0.750
Sm: 0.903 0.294 0.750
Sm: 0.706 0.609 0.750

Computed properties:
E_tot (eV per atom): -6.614

---

Entry 10:
The following is a DFT calculation (PBE-GGA) of crystalline PaSiTe at its relaxed geometry.

a = 4.763 Å, b = 4.763 Å, c = 4.763 Å
α = 60.00°, β = 60.00°, γ = 60.00°
Fractional coordinates of all 3 atoms:
Pa: 0.250 0.250 0.250
Si: 0.000 0.000 0.000
Te: 0.750 0.750 0.750

Computed properties:
ΔE to the lowest computed polymorph (meV per atom): 86.8

---

Entry 11:
The following is a DFT calculation (PBE-GGA) of crystalline NaInCoSe3 at its relaxed geometry.

a = 7.948 Å, b = 3.870 Å, c = 9.685 Å
α = 90.00°, β = 101.79°, γ = 90.00°
Fractional coordinates of all 12 atoms:
Co: 0.436 0.250 0.416
Co: 0.564 0.750 0.584
In: 0.179 0.750 0.119
In: 0.821 0.250 0.881
Na: 0.727 0.750 0.286
Na: 0.273 0.250 0.714
Se: 0.942 0.250 0.162
Se: 0.425 0.250 0.165
Se: 0.281 0.750 0.460
Se: 0.719 0.250 0.540
Se: 0.575 0.750 0.835
Se: 0.058 0.750 0.838

Computed properties:
E_tot (eV per atom): -4.121

---

Entry 12:
The following is a DFT calculation (PBE-GGA) of crystalline NdSm2In2Ni4 at its relaxed geometry.

a = 5.415 Å, b = 5.415 Å, c = 8.575 Å
α = 95.06°, β = 95.06°, γ = 47.23°
Fractional coordinates of all 9 atoms:
In: 0.324 0.324 0.222
In: 0.676 0.676 0.778
Nd: 0.000 0.000 0.000
Ni: 0.729 0.729 0.082
Ni: 0.925 0.925 0.380
Ni: 0.075 0.075 0.620
Ni: 0.271 0.271 0.918
Sm: 0.629 0.629 0.384
Sm: 0.371 0.371 0.616

Computed properties:
E_tot (eV per atom): -5.058